(1)
# GdHoFeRu

A relaxed structure of GdHoFeRu (PBE-GGA, Alexandria).

a b c (Å): 6.8286 6.8286 6.8286
angles (deg): 90.00 90.00 90.00
With the nearest neighbours (Å) after each atom.
Space group F-43m (No. 216)
Unique sites:
Gd  0.0000  0.0000  0.0000 (multiplicity 4)  4 Fe 2.96, 4 Ru 2.96
Ho  0.0000  0.0000  0.5000 (multiplicity 4)  4 Fe 2.96, 4 Ru 2.96
Fe  0.2500  0.2500  0.7500 (multiplicity 4)  4 Gd 2.96, 4 Ho 2.96
Ru  0.2500  0.2500  0.2500 (multiplicity 4)  4 Gd 2.96, 4 Ho 2.96

Calculated values
Crystal system: cubic
N(E_F): 33.1 states/eV/cell
Calculated formation energy: -0.05 eV per atom



(2)
# PmZn2Pb

A relaxed structure of PmZn2Pb (PBE-GGA, Alexandria).

a b c (Å): 4.6272 4.6272 15.5018
angles (deg): 90.00 90.00 120.00
With the nearest neighbours (Å) after each atom.
Space group R-3m (No. 166, hexagonal axes)
Unique sites:
Pm  0.0000  0.0000  0.0000 (multiplicity 3)  6 Zn 3.06
Zn  0.0000  0.0000  0.2366 (multiplicity 6)  3 Pb 2.88, 3 Pm 3.06
Pb  0.0000  0.0000  0.5000 (multiplicity 3)  6 Zn 2.88

Calculated values
Crystal system: trigonal
N(E_F): 4.7 states/eV/cell
Calculated formation energy: -0.18 eV per atom



(3)
# Ce2Y2Si4Ni

A relaxed structure of Ce2Y2Si4Ni (PBE-GGA, Alexandria).

a b c (Å): 6.9245 6.9245 8.0406
angles (deg): 90.00 90.00 90.00
With the nearest neighbours (Å) after each atom.
Space group I4/mmm (No. 139)
Unique sites:
Ce  0.0000  0.0000  0.1752 (multiplicity 4)  1 Ni 2.61, 1 Ce 2.82
Y  0.0000  0.5000  0.2500 (multiplicity 4)  8 Si 3.17, 4 Ce 3.51
Si  0.2305  0.2305  0.5000 (multiplicity 8)  1 Ni 2.26
Ni  0.0000  0.0000  0.5000 (multiplicity 2)  4 Si 2.26

Calculated values
Crystal system: tetragonal
N(E_F): 21.5 states/eV/cell
Formation energy (no corrections): -3.52 eV per formula unit



(4)
# SrLaAg2

A relaxed structure of SrLaAg2 (PBE-GGA, Alexandria).

a b c (Å): 3.3170 6.1576 12.1967
angles (deg): 90.00 90.00 90.00
With the nearest neighbours (Å) after each atom.
Space group Immm (No. 71)
Unique sites:
Sr  0.0000  0.0000  0.0000 (multiplicity 2)  2 Ag 3.08, 2 Sr 3.32
La  0.0000  0.0000  0.5000 (multiplicity 2)  2 Ag 3.02, 2 La 3.32
Ag  0.0000  0.0000  0.2528 (multiplicity 4)  1 La 3.02, 1 Sr 3.08, 2 Ag 3.32

Calculated values
Crystal system: orthorhombic
N(E_F): 5.0 states/eV/cell
Calculated formation energy: 0.56 eV per atom



(5)
# Tb3Y7Th

A relaxed structure of Tb3Y7Th (PBE-GGA, Alexandria).

a b c (Å): 7.0844 7.0844 8.6714
angles (deg): 90.00 90.00 120.00
With the nearest neighbours (Å) after each atom.
Space group P3m1 (No. 156)
Unique sites:
Tb  0.0039  0.5020  0.0000 (multiplicity 3)  4 Tb 3.50-3.58, 1 Th 3.51, 5 Y 3.53-3.56
Y  0.1693  0.3385  0.3388 (multiplicity 3)  8 Y 3.49-3.60, 1 Th 3.50, 2 Tb 3.56
Y  0.3347  0.1673  0.6687 (multiplicity 3)  7 Y 3.53-3.56, 2 Tb 3.53, 2 Th 3.54
Y  0.6667  0.3333  0.3333 (multiplicity 1)  9 Y 3.54-3.55, 3 Tb 3.55
Th  0.3333  0.6667  0.6689 (multiplicity 1)  9 Y 3.50-3.54, 3 Tb 3.51

Calculated values
Energy relative to the lowest polymorph listed for this composition: 0.038 eV per atom
Crystal system: trigonal
N(E_F): 18.1 states/eV/cell
Calculated formation energy: 0.19 eV per atom



(6)
# MnCuBi2Se5

A relaxed structure of MnCuBi2Se5 (PBE-GGA, Alexandria).

a b c (Å): 4.0123 18.3675 12.2470
angles (deg): 90.00 90.00 90.00
With the nearest neighbours (Å) after each atom.
Space group Cmc2_1 (No. 36)
Unique sites:
Mn  0.0000  0.1962  0.0000 (multiplicity 4)  6 Se 2.59-2.69
Cu  0.0000  0.4155  0.4474 (multiplicity 4)  4 Se 2.39-2.44
Bi  0.0000  0.0975  0.2676 (multiplicity 4)  3 Se 2.80-2.82
Bi  0.0000  0.1458  0.6718 (multiplicity 4)  3 Se 2.76-2.86
Se  0.0000  0.0585  0.0466 (multiplicity 4)  2 Cu 2.39, 1 Mn 2.59
Se  0.0000  0.2951  0.6460 (multiplicity 4)  2 Mn 2.69, 1 Bi 2.76
Se  0.0000  0.2975  0.3568 (multiplicity 4)  1 Cu 2.43, 2 Mn 2.67
Se  0.0000  0.3376  0.0076 (multiplicity 4)  1 Mn 2.60, 2 Bi 2.86
Se  0.0000  0.4904  0.2833 (multiplicity 4)  1 Cu 2.44

Calculated values
Crystal system: orthorhombic
N(E_F): 10.2 states/eV/cell
Formation energy (no corrections): -2.72 eV per formula unit



(7)
# SrAgO2

A relaxed structure of SrAgO2 (PBE-GGA, Alexandria).

a b c (Å): 6.1269 6.1269 6.1269
angles (deg): 90.00 90.00 90.00
With the nearest neighbours (Å) after each atom.
Space group Fm-3m (No. 225)
Unique sites:
Sr  0.0000  0.0000  0.0000 (multiplicity 4)  8 O 2.65
Ag  0.0000  0.0000  0.5000 (multiplicity 4)  8 O 2.65
O  0.2500  0.2500  0.2500 (multiplicity 8)  4 Sr 2.65, 4 Ag 2.65

Calculated values
Crystal system: cubic
N(E_F): 11.2 states/eV/cell
Formation energy (no corrections): -4.27 eV per formula unit



(8)
# Pm3Pr2SmHo6

A relaxed structure of Pm3Pr2SmHo6 (PBE-GGA, Alexandria).

a b c (Å): 6.2444 10.8133 11.8150
angles (deg): 90.00 100.11 90.00
With the nearest neighbours (Å) after each atom.
Space group C2/m (No. 12)
Unique sites:
Pm  0.0000  0.0000  0.0000 (multiplicity 2)  6 Ho 3.57, 6 Pm 3.60-3.61
Pm  0.0000  0.3333  0.0000 (multiplicity 4)  6 Ho 3.57, 6 Pm 3.60-3.61
Pr  0.0000  0.1666  0.5000 (multiplicity 4)  6 Ho 3.58-3.59, 3 Pr 3.60-3.61, 3 Sm 3.60-3.61
Sm  0.0000  0.5000  0.5000 (multiplicity 2)  6 Ho 3.58, 6 Pr 3.60-3.61
Ho  0.2492  0.5000  0.2490 (multiplicity 4)  3 Pm 3.57, 1 Sm 3.58, 2 Pr 3.59, 6 Ho 3.60-3.61
Ho  0.2497  0.1665  0.2492 (multiplicity 8)  3 Pm 3.57, 2 Pr 3.58-3.59, 1 Sm 3.58, 6 Ho 3.60-3.61

Calculated values
Crystal system: monoclinic
N(E_F): 26.5 states/eV/cell
Calculated formation energy: 0.01 eV per atom



(9)
# Tl12Se6F

A relaxed structure of Tl12Se6F (PBE-GGA, Alexandria).

a b c (Å): 12.1694 12.1694 15.7095
angles (deg): 90.00 90.00 120.00
With the nearest neighbours (Å) after each atom.
Space group R-3 (No. 148, hexagonal axes)
Unique sites:
Tl  0.0244  0.8274  0.3978 (multiplicity 18)  1 F 2.77
Tl  0.0332  0.8376  0.9056 (multiplicity 18)  3 Se 3.00-3.13
Se  0.0493  0.7843  0.1939 (multiplicity 18)  6 Tl 3.00-3.28
F  0.0000  0.0000  0.5000 (multiplicity 3)  6 Tl 2.77

Calculated values
Crystal system: trigonal
N(E_F): 27.2 states/eV/cell
Formation energy (no corrections): -8.62 eV per formula unit



(10)
# CsKAu3

A relaxed structure of CsKAu3 (PBE-GGA, Alexandria).

a b c (Å): 6.3754 6.3754 6.3754
angles (deg): 90.00 90.00 90.00
With the nearest neighbours (Å) after each atom.
Space group Pm-3m (No. 221)
Unique sites:
Cs  0.0000  0.0000  0.0000 (multiplicity 1)  6 Au 3.19
K  0.5000  0.5000  0.5000 (multiplicity 1)  12 Au 4.51
Au  0.0000  0.0000  0.5000 (multiplicity 3)  2 Cs 3.19

Calculated values
Energy relative to the lowest polymorph listed for this composition: 0.626 eV per atom
Crystal system: cubic
N(E_F): 9.6 states/eV/cell
Calculated formation energy: 0.52 eV per atom



(11)
# GdHoAlCu

A relaxed structure of GdHoAlCu (PBE-GGA, Alexandria).

a b c (Å): 7.1467 7.1467 7.1467
angles (deg): 90.00 90.00 90.00
With the nearest neighbours (Å) after each atom.
Space group F-43m (No. 216)
Unique sites:
Gd  0.0000  0.0000  0.0000 (multiplicity 4)  4 Cu 3.09, 4 Al 3.09
Ho  0.0000  0.0000  0.5000 (multiplicity 4)  4 Al 3.09, 4 Cu 3.09
Al  0.2500  0.2500  0.7500 (multiplicity 4)  4 Gd 3.09, 4 Ho 3.09
Cu  0.2500  0.2500  0.2500 (multiplicity 4)  4 Gd 3.09, 4 Ho 3.09

Calculated values
Crystal system: cubic
N(E_F): 12.8 states/eV/cell
Calculated formation energy: -0.28 eV per atom



(12)
# Ce8In4H

A relaxed structure of Ce8In4H (PBE-GGA, Alexandria).

a b c (Å): 4.5189 4.9532 14.4957
angles (deg): 90.00 90.00 90.00
With the nearest neighbours (Å) after each atom.
Space group Pmm2 (No. 25)
Unique sites:
Ce  0.0000  0.0000  0.0000 (multiplicity 1)  1 H 2.27
Ce  0.0000  0.0000  0.3036 (multiplicity 1)  2 Ce 2.99, 2 In 3.25
Ce  0.0000  0.5000  0.4792 (multiplicity 1)  2 Ce 2.92
Ce  0.0000  0.5000  0.7985 (multiplicity 1)  2 H 2.56
Ce  0.5000  0.0000  0.1683 (multiplicity 1)  4 Ce 2.99-3.33
Ce  0.5000  0.0000  0.8356 (multiplicity 1)  2 H 2.26
Ce  0.5000  0.5000  0.3511 (multiplicity 1)  2 Ce 2.92, 2 In 3.26
Ce  0.5000  0.5000  0.6688 (multiplicity 1)  2 Ce 2.94
In  0.0000  0.0000  0.6460 (multiplicity 1)  1 H 2.86, 2 In 3.12
In  0.0000  0.5000  0.1583 (multiplicity 1)  10 Ce 3.25-3.59, 2 In 3.29
In  0.5000  0.0000  0.4975 (multiplicity 1)  2 In 3.12, 6 Ce 3.26-3.36
In  0.5000  0.5000  0.9929 (multiplicity 1)  2 In 3.29, 10 Ce 3.35-3.61
H  0.0000  0.0000  0.8436 (multiplicity 1)  3 Ce 2.26-2.27

Calculated values
E: -5.011 eV per atom
Crystal system: orthorhombic
N(E_F): 33.3 states/eV/cell



(13)
# K2NaLiIn

A relaxed structure of K2NaLiIn (PBE-GGA, Alexandria).

a b c (Å): 6.7536 6.7536 6.0338
angles (deg): 90.00 90.00 90.00
With the nearest neighbours (Å) after each atom.
Space group P4/mmm (No. 123)
Unique sites:
K  0.0000  0.5000  0.0000 (multiplicity 2)  2 In 3.38
Na  0.0000  0.0000  0.5000 (multiplicity 1)  2 In 3.02
Li  0.5000  0.5000  0.5000 (multiplicity 1)  8 K 4.53, 4 Na 4.78
In  0.0000  0.0000  0.0000 (multiplicity 1)  2 Na 3.02, 4 K 3.38

Calculated values
Crystal system: tetragonal
N(E_F): 5.3 states/eV/cell
Calculated formation energy: 0.27 eV per atom



(14)
# CePmPrTh

A relaxed structure of CePmPrTh (PBE-GGA, Alexandria).

a b c (Å): 8.0920 8.0920 8.0920
angles (deg): 90.00 90.00 90.00
With the nearest neighbours (Å) after each atom.
Space group F-43m (No. 216)
Unique sites:
Ce  0.0000  0.0000  0.0000 (multiplicity 4)  4 Pr 3.50, 4 Th 3.50
Pm  0.0000  0.0000  0.5000 (multiplicity 4)  4 Th 3.50, 4 Pr 3.50
Pr  0.2500  0.2500  0.2500 (multiplicity 4)  4 Ce 3.50, 4 Pm 3.50
Th  0.2500  0.2500  0.7500 (multiplicity 4)  4 Ce 3.50, 4 Pm 3.50

Calculated values
Crystal system: cubic
N(E_F): 56.4 states/eV/cell
Calculated formation energy: 0.24 eV per atom



(15)
# CeThO4

A relaxed structure of CeThO4 (PBE-GGA, Alexandria).

a b c (Å): 3.9213 3.9213 5.5431
angles (deg): 90.00 90.00 90.00
With the nearest neighbours (Å) after each atom.
Space group P4/mmm (No. 123)
Unique sites:
Ce  0.0000  0.0000  0.0000 (multiplicity 1)  8 O 2.39
Th  0.5000  0.5000  0.5000 (multiplicity 1)  8 O 2.41
O  0.0000  0.5000  0.2462 (multiplicity 4)  2 Ce 2.39, 2 Th 2.41

Calculated values
Crystal system: tetragonal
N(E_F): 0.0 states/eV/cell
Formation energy (no corrections): -22.04 eV per formula unit



(16)
# CsSeBr3

A relaxed structure of CsSeBr3 (PBE-GGA, Alexandria).

a b c (Å): 5.5567 5.5567 36.1203
angles (deg): 90.00 90.00 90.00
With the nearest neighbours (Å) after each atom.
Space group I-4m2 (No. 119)
Unique sites:
Cs  0.0000  0.0000  0.0000 (multiplicity 2)  4 Br 3.49
Cs  0.0000  0.5000  0.2500 (multiplicity 2)  4 Br 3.37
Se  0.0000  0.5000  0.7186 (multiplicity 4)  1 Se 2.27
Br  0.0000  0.0000  0.1972 (multiplicity 4)  2 Se 2.88
Br  0.0000  0.2520  0.0885 (multiplicity 8)  2 Br 2.76-2.80

Calculated values
Crystal system: tetragonal
N(E_F): 5.1 states/eV/cell
Formation energy (no corrections): -3.01 eV per formula unit



(17)
# YNiIr

A relaxed structure of YNiIr (PBE-GGA, Alexandria).

a b c (Å): 3.3441 3.3601 9.5102
angles (deg): 90.00 90.00 90.00
With the nearest neighbours (Å) after each atom.
Space group Imm2 (No. 44)
Unique sites:
Y  0.0000  0.0000  0.0000 (multiplicity 2)  5 Ni 2.77-3.09, 5 Ir 2.87-3.03
Ni  0.0000  0.0000  0.2918 (multiplicity 2)  4 Ir 2.53, 1 Y 2.77
Ir  0.0000  0.0000  0.6981 (multiplicity 2)  4 Ni 2.53

Calculated values
Crystal system: orthorhombic
N(E_F): 3.3 states/eV/cell
Calculated formation energy: -0.25 eV per atom



(18)
# CeSmEr2

A relaxed structure of CeSmEr2 (PBE-GGA, Alexandria).

a b c (Å): 3.5389 3.5389 34.2545
angles (deg): 90.00 90.00 120.00
With the nearest neighbours (Å) after each atom.
Space group R3m (No. 160, hexagonal axes)
Unique sites:
Ce  0.0000  0.0000  0.0000 (multiplicity 3)  6 Er 3.45-3.46, 6 Ce 3.54
Sm  0.0000  0.0000  0.1658 (multiplicity 3)  6 Sm 3.54, 6 Er 3.55-3.58
Er  0.0000  0.0000  0.4145 (multiplicity 3)  3 Ce 3.45, 6 Er 3.54, 3 Sm 3.55
Er  0.0000  0.0000  0.5851 (multiplicity 3)  3 Ce 3.46, 6 Er 3.54, 3 Sm 3.58

Calculated values
Energy relative to the lowest polymorph listed for this composition: 0.000 eV per atom
Crystal system: trigonal
N(E_F): 24.0 states/eV/cell
Calculated formation energy: 0.05 eV per atom



(19)
# AcPr5Sm4

A relaxed structure of AcPr5Sm4 (PBE-GGA, Alexandria).

a b c (Å): 4.3327 4.3327 19.2019
angles (deg): 90.00 90.00 90.00
With the nearest neighbours (Å) after each atom.
Space group P4/mmm (No. 123)
Unique sites:
Ac  0.0000  0.0000  0.0000 (multiplicity 1)  8 Pr 3.79, 2 Sm 3.96
Pr  0.5000  0.5000  0.1158 (multiplicity 2)  4 Sm 3.52, 1 Pr 3.62, 4 Ac 3.79
Pr  0.5000  0.5000  0.3045 (multiplicity 2)  8 Sm 3.60, 2 Pr 3.62-3.75
Pr  0.5000  0.5000  0.5000 (multiplicity 1)  8 Sm 3.59, 2 Pr 3.75
Sm  0.0000  0.0000  0.2064 (multiplicity 2)  8 Pr 3.52-3.60, 1 Sm 3.77
Sm  0.0000  0.0000  0.4026 (multiplicity 2)  8 Pr 3.59-3.60, 2 Sm 3.74-3.77

Calculated values
Energy relative to the lowest polymorph listed for this composition: 0.000 eV per atom
Crystal system: tetragonal
N(E_F): 22.6 states/eV/cell
Calculated formation energy: 0.10 eV per atom



(20)
# TaTiMo6

A relaxed structure of TaTiMo6 (PBE-GGA, Alexandria).

a b c (Å): 4.4930 6.3647 8.9804
angles (deg): 90.00 90.00 90.00
With the nearest neighbours (Å) after each atom.
Space group Amm2 (No. 38)
Unique sites:
Ta  0.0000  0.0000  0.0000 (multiplicity 2)  8 Mo 2.74-2.77
Ti  0.5000  0.0000  0.7533 (multiplicity 2)  8 Mo 2.75-2.76
Mo  0.0000  0.0000  0.5042 (multiplicity 2)  8 Mo 2.74-2.76
Mo  0.0000  0.2483  0.2520 (multiplicity 4)  4 Mo 2.74-2.76, 2 Ta 2.74-2.76, 2 Ti 2.76
Mo  0.5000  0.0000  0.2515 (multiplicity 2)  8 Mo 2.75-2.76
Mo  0.5000  0.2467  0.5025 (multiplicity 4)  4 Mo 2.74-2.76, 2 Ti 2.75-2.76, 2 Ta 2.77

Calculated values
Energy relative to the lowest polymorph listed for this composition: 0.000 eV per atom
Crystal system: orthorhombic
N(E_F): 9.2 states/eV/cell
Calculated formation energy: -0.14 eV per atom